Entry 1:
VASP calculation (PBE) on crystalline La3Pr6Dy2Ho at its relaxed geometry.

Results
SG	C2/m (12)
energy of formation	0.018	eV/atom

a b c (Å): 6.3870 6.3870 12.1548
angles (deg): 95.03 95.03 120.05
Sites, in units of the cell vectors:
Dy: 0.6667 0.3333 0.0000
Pr: 0.9186 0.5853 0.7564
La: 0.8333 0.1667 0.5000
Pr: 0.4147 0.0814 0.2436
Pr: 0.5853 0.9186 0.7564
Pr: 0.7482 0.7482 0.2437
La: 0.5000 0.5000 0.5000
Dy: 0.3333 0.6667 0.0000
Ho: 0.0000 0.0000 0.0000
La: 0.1667 0.8333 0.5000
Pr: 0.0814 0.4147 0.2436
Pr: 0.2518 0.2518 0.7563



Entry 2:
VASP calculation (PBE) on crystalline LaPr2DyHo5 at its relaxed geometry.

Results
SG	I4/mcm (140)
energy of formation	0.249	eV/atom

a b c (Å): 8.6522 8.6522 9.9977
angles (deg): 115.64 115.64 90.00
Sites, in units of the cell vectors:
La: 0.7500 0.2500 0.5000
La: 0.2500 0.7500 0.5000
Ho: 0.4306 0.3481 0.2787
Ho: 0.8481 0.9306 0.2787
Ho: 0.0694 0.5694 0.7213
Pr: 0.3806 0.8806 0.0000
Pr: 0.1194 0.3806 0.0000
Dy: 0.7500 0.7500 0.5000
Ho: 0.1519 0.0694 0.7213
Dy: 0.2500 0.2500 0.5000
Pr: 0.6194 0.1194 0.0000
Ho: 0.0000 0.0000 0.0000
Ho: 0.3481 0.8481 0.2787
Ho: 0.5000 0.5000 0.0000
Ho: 0.6519 0.1519 0.7213
Ho: 0.5694 0.6519 0.7213
Ho: 0.9306 0.4306 0.2787
Pr: 0.8806 0.6194 0.0000



Entry 3:
VASP calculation (PBE) on crystalline LaPr3Dy2Ho6 at its relaxed geometry.

Results
SG	C2/m (12)
energy of formation	0.019	eV/atom

a b c (Å): 6.2363 6.2363 11.8474
angles (deg): 95.02 95.02 119.99
Sites, in units of the cell vectors:
Ho: 0.7484 0.7484 0.2482
Pr: 0.8331 0.1669 0.5000
Ho: 0.0831 0.4175 0.2481
Ho: 0.4175 0.0831 0.2481
Ho: 0.9169 0.5825 0.7519
La: 0.0000 0.0000 0.0000
Ho: 0.5825 0.9169 0.7519
Dy: 0.6668 0.3332 0.0000
Pr: 0.1669 0.8331 0.5000
Ho: 0.2516 0.2516 0.7518
Dy: 0.3332 0.6668 0.0000
Pr: 0.5000 0.5000 0.5000